[1]
A plane-wave DFT calculation with GGA-PBE was carried out for an optimized crystal structure of CeZrTcIr.

It has space group F-43m (No. 216), with a = 6.763 Å, b = 6.763 Å, c = 6.763 Å, α = 90.00°, β = 90.00° and γ = 90.00°. Symmetry generates all atoms from Ce at (0.000, 0.000, 0.000), Zr at (0.000, 0.000, 0.500), Tc at (0.250, 0.250, 0.250) and Ir at (0.250, 0.250, 0.750).

For the total magnetization, the calculation gives 0.0 Bohr magnetons per cell. As for the calculated formation energy: -424 meV/atom.

***

[2]
A plane-wave DFT calculation with GGA-PBE was carried out for an optimized crystal structure of Tl5V2S6.

It has space group Pbam (No. 55), with a = 12.706 Å, b = 14.985 Å, c = 3.883 Å, α = 90.00°, β = 90.00° and γ = 90.00°. Symmetry generates all atoms from Tl at (0.000, 0.000, 0.000), Tl at (0.020, 0.230, 0.000), Tl at (0.158, 0.482, 0.000), V at (0.211, 0.686, 0.500), S at (0.049, 0.630, 0.500), S at (0.177, 0.074, 0.500) and S at (0.230, 0.768, 0.000).

For the total magnetization, the calculation gives 6.0 Bohr magnetons per cell. The value obtained for the formation energy (no corrections) is -6.64 eV per formula unit.

***

[3]
A plane-wave DFT calculation with GGA-PBE was carried out for an optimized crystal structure of PrMgRe4.

It has space group F-43m (No. 216), with a = 7.637 Å, b = 7.637 Å, c = 7.637 Å, α = 90.00°, β = 90.00° and γ = 90.00°. Symmetry generates all atoms from Pr at (0.000, 0.000, 0.000), Mg at (0.250, 0.250, 0.750) and Re at (0.125, 0.125, 0.375).

For the total magnetization, the calculation gives 0.0 Bohr magnetons per cell. As for the calculated formation energy: 151 meV/atom.

***

For reference, E by record: -8.8511, -4.7284, -9.2096 eV per atom.